# K3LiMn4Mo6O24 (PBE+U, relaxed)
# Space group = R3c
# Spin magnetization = 40.00 μB per cell
# DFT total energy = -529.83 eV for the cell shown
data_K3LiMn4Mo6O24
_chemical_formula_sum 'K6 Li2 Mn8 Mo12 O48'
_cell_length_a 10.913
_cell_length_b 10.913
_cell_length_c 10.913
_cell_angle_alpha 85.61
_cell_angle_beta 85.61
_cell_angle_gamma 85.61
_symmetry_space_group_name_H-M 'P 1'
_symmetry_Int_Tables_number 1
loop_
_symmetry_equiv_pos_as_xyz
'x,y,z'
loop_
_atom_site_label
_atom_site_fract_x
_atom_site_fract_y
_atom_site_fract_z
_atom_site_occupancy
Mo1 0.310 0.151 0.958 1
Mo2 0.810 0.458 0.651 1
Mo3 0.151 0.958 0.310 1
Mo4 0.190 0.533 0.353 1
Mo5 0.533 0.353 0.190 1
Mo6 0.033 0.690 0.853 1
Mo7 0.353 0.190 0.533 1
Mo8 0.958 0.310 0.151 1
Mo9 0.458 0.651 0.810 1
Mo10 0.690 0.853 0.033 1
Mo11 0.651 0.810 0.458 1
Mo12 0.853 0.033 0.690 1
O1 0.671 0.882 0.870 1
O2 0.692 0.085 0.694 1
O3 0.178 0.074 0.925 1
O4 0.192 0.194 0.585 1
O5 0.128 0.120 0.333 1
O6 0.568 0.417 0.329 1
O7 0.424 0.057 0.613 1
O8 0.833 0.620 0.628 1
O9 0.194 0.585 0.192 1
O10 0.292 0.314 0.913 1
O11 0.333 0.128 0.120 1
O12 0.574 0.678 0.425 1
O13 0.585 0.192 0.194 1
O14 0.382 0.171 0.370 1
O15 0.376 0.587 0.947 1
O16 0.620 0.628 0.833 1
O17 0.413 0.814 0.792 1
O18 0.057 0.613 0.424 1
O19 0.417 0.329 0.568 1
O20 0.370 0.382 0.171 1
O21 0.087 0.876 0.447 1
O22 0.587 0.947 0.376 1
O23 0.447 0.087 0.876 1
O24 0.870 0.671 0.882 1
O25 0.613 0.424 0.057 1
O26 0.924 0.113 0.557 1
O27 0.329 0.568 0.417 1
O28 0.113 0.557 0.924 1
O29 0.814 0.792 0.413 1
O30 0.947 0.376 0.587 1
O31 0.120 0.333 0.128 1
O32 0.913 0.292 0.314 1
O33 0.314 0.913 0.292 1
O34 0.074 0.925 0.178 1
O35 0.085 0.694 0.692 1
O36 0.068 0.829 0.917 1
O37 0.678 0.425 0.574 1
O38 0.925 0.178 0.074 1
O39 0.876 0.447 0.087 1
O40 0.628 0.833 0.620 1
O41 0.694 0.692 0.085 1
O42 0.557 0.924 0.113 1
O43 0.425 0.574 0.678 1
O44 0.829 0.917 0.068 1
O45 0.917 0.068 0.829 1
O46 0.171 0.370 0.382 1
O47 0.882 0.870 0.671 1
O48 0.792 0.413 0.814 1
K1 0.202 0.940 0.707 1
K2 0.940 0.707 0.202 1
K3 0.440 0.702 0.207 1
K4 0.707 0.202 0.940 1
K5 0.702 0.207 0.440 1
K6 0.207 0.440 0.702 1
Mn1 0.537 0.965 0.747 1
Mn2 0.465 0.037 0.247 1
Mn3 0.037 0.247 0.465 1
Mn4 0.747 0.537 0.965 1
Mn5 0.965 0.747 0.537 1
Mn6 0.504 0.504 0.504 1
Mn7 0.247 0.465 0.037 1
Mn8 0.004 0.004 0.004 1
Li1 0.248 0.248 0.248 1
Li2 0.748 0.748 0.748 1